Density functional theory data (PBE with a Hubbard U) for Ba3NdMo2O9 after structural relaxation.

Calculated values
* calculated total energy: -7.090 eV per atom
* total moment: 0.20 μB per atom
* SG: No. 164

a = 6.038 Å, b = 6.038 Å, c = 7.408 Å
α = 90.00°, β = 90.00°, γ = 120.00°
Last column: magnetic moment on the atom in μB.
Fractional positions:
1 Ba 0.667 0.333 0.319  0.01
2 Ba 0.000 0.000 0.000  0.01
3 Ba 0.333 0.667 0.681  0.01
4 Mo 0.333 0.667 0.158  1.46
5 Mo 0.667 0.333 0.842  1.46
6 O 0.353 0.177 0.689  -0.01
7 O 0.500 0.500 0.000  -0.02
8 O 0.177 0.823 0.311  -0.01
9 O 0.647 0.823 0.311  -0.01
10 O 0.823 0.647 0.689  -0.01
11 O 0.177 0.353 0.311  -0.01
12 O 0.000 0.500 0.000  -0.02
13 O 0.823 0.177 0.689  -0.01
14 O 0.500 0.000 0.000  -0.02
15 Nd 0.000 0.000 0.500  0.03